Record 1
Material: CdRu2Pb
Method: DFT, meta-GGA SCAN
State: PBEsol geometry

Properties
Its calculated volume is 73.5 Å³/f.u. The raw total energy comes out at -174.6 eV/cell. As for the space group: P4mm. The calculation puts the spin magnetization at 0.000 μB per cell. For the calculated formation energy, the calculation gives 0.300 eV per atom.

Unit cell a=2.9425 b=2.9425 c=8.4906 alpha=90.00 beta=90.00 gamma=90.00
Last column: nearest neighbours and their distance in Å.
Atoms (fractional coordinates):
Cd: 0.0000 0.0000 0.0000  4 Ru 2.84, 4 Cd 2.94
Ru: 0.0000 0.0000 0.5953  4 Ru 2.57
Ru: 0.5000 0.5000 0.7725  4 Ru 2.57, 4 Cd 2.84
Pb: 0.5000 0.5000 0.3436  4 Pb 2.94, 4 Ru 2.98



Record 2
Material: CdRu2Pb2
Method: DFT, meta-GGA SCAN
State: PBEsol geometry

Properties
Its calculated volume is 107.1 Å³/f.u. The raw total energy comes out at -248.3 eV/cell. As for the space group: I4/mmm. The calculation puts the spin magnetization at 0.444 μB per cell. For the calculated formation energy, the calculation gives 0.662 eV per atom.

Unit cell a=6.4169 b=6.4169 c=6.4169 alpha=140.24 beta=140.24 gamma=57.49
Last column: nearest neighbours and their distance in Å.
Atoms (fractional coordinates):
Cd: 0.0000 0.0000 0.0000  8 Ru 3.30, 8 Pb 3.56
Ru: 0.3951 0.3951 0.0000  1 Ru 2.36
Ru: 0.6049 0.6049 0.0000  1 Ru 2.36
Pb: 0.2500 0.7500 0.5000  4 Ru 2.72
Pb: 0.7500 0.2500 0.5000  4 Ru 2.72



Record 3
Material: Cd2SiRuPb
Method: DFT, meta-GGA SCAN
State: PBEsol geometry

Properties
As for the energy relative to the elements, uncorrected: 160 kJ/mol of formula units. Its calculated volume is 118.4 Å³/f.u. The raw total energy comes out at -179.8 eV/cell. As for the space group: P4/mmm. The calculation puts the spin magnetization at 0.000 μB per cell.

Unit cell a=5.1523 b=5.1523 c=4.4619 alpha=90.00 beta=90.00 gamma=90.00
Last column: nearest neighbours and their distance in Å.
Atoms (fractional coordinates):
Cd: 0.0000 0.5000 0.0000  2 Ru 2.58
Cd: 0.5000 0.0000 0.0000  2 Ru 2.58
Si: 0.0000 0.0000 0.5000  2 Ru 2.23
Ru: 0.0000 0.0000 0.0000  2 Si 2.23
Pb: 0.5000 0.5000 0.5000  8 Cd 3.41, 4 Si 3.64



Record 4
Material: Cd2PbS
Method: DFT, meta-GGA SCAN
State: PBEsol geometry

Properties
As for the energy relative to the elements, uncorrected: 100 kJ/mol of formula units. Its calculated volume is 91.1 Å³/f.u. The raw total energy comes out at -145.2 eV/cell. As for the space group: Fm-3m. The calculation puts the spin magnetization at 0.000 μB per cell.

Unit cell a=5.0507 b=5.0507 c=5.0507 alpha=60.00 beta=60.00 gamma=60.00
Last column: nearest neighbours and their distance in Å.
Atoms (fractional coordinates):
Cd: 0.2500 0.2500 0.2500  4 S 3.09, 4 Pb 3.09
Cd: 0.7500 0.7500 0.7500  4 S 3.09, 4 Pb 3.09
Pb: 0.0000 0.0000 0.0000  8 Cd 3.09
S: 0.5000 0.5000 0.5000  8 Cd 3.09



Record 5
Material: CdPb3S
Method: DFT, meta-GGA SCAN
State: PBEsol geometry

Properties
As for the energy relative to the elements, uncorrected: 124 kJ/mol of formula units. Its calculated volume is 160.0 Å³/f.u. The raw total energy comes out at -266.1 eV/cell. As for the space group: Pm-3m. The calculation puts the spin magnetization at 0.000 μB per cell.

Unit cell a=5.4284 b=5.4284 c=5.4284 alpha=90.00 beta=90.00 gamma=90.00
Last column: nearest neighbours and their distance in Å.
Atoms (fractional coordinates):
Cd: 0.0000 0.0000 0.0000  12 Pb 3.84
Pb: 0.0000 0.5000 0.5000  2 S 2.71
Pb: 0.5000 0.0000 0.5000  2 S 2.71
Pb: 0.5000 0.5000 0.0000  2 S 2.71
S: 0.5000 0.5000 0.5000  6 Pb 2.71



Record 6
Material: TaCdPbS2
Method: DFT, meta-GGA SCAN
State: PBEsol geometry

Properties
As for the energy relative to the elements, uncorrected: 580 kJ/mol of formula units. Its calculated volume is 122.7 Å³/f.u. The raw total energy comes out at -186.0 eV/cell. As for the space group: P4/mmm. The calculation puts the spin magnetization at 0.001 μB per cell.

Unit cell a=4.7945 b=4.7945 c=5.3385 alpha=90.00 beta=90.00 gamma=90.00
Last column: nearest neighbours and their distance in Å.
Atoms (fractional coordinates):
Ta: 0.0000 0.0000 0.0000  2 Cd 2.67
Cd: 0.0000 0.0000 0.5000  4 S 2.40, 2 Ta 2.67
Pb: 0.5000 0.5000 0.0000  4 Ta 3.39, 8 S 3.59
S: 0.0000 0.5000 0.5000  2 Cd 2.40
S: 0.5000 0.0000 0.5000  2 Cd 2.40



Record 7
Material: CdSbPb2
Method: DFT, meta-GGA SCAN
State: PBEsol geometry

Properties
As for the energy relative to the elements, uncorrected: 37 kJ/mol of formula units. Its calculated volume is 108.7 Å³/f.u. The raw total energy comes out at -218.8 eV/cell. As for the space group: Pm. The calculation puts the spin magnetization at 0.000 μB per cell.

Unit cell a=3.2900 b=5.1970 c=6.5333 alpha=90.00 beta=103.37 gamma=90.00
Last column: nearest neighbours and their distance in Å.
Atoms (fractional coordinates):
Cd: 0.0000 0.0000 0.0000  2 Sb 3.05, 3 Pb 3.21-3.38, 2 Cd 3.29
Sb: 0.8558 0.5000 0.7501  2 Cd 3.05, 2 Sb 3.29, 2 Pb 3.31-3.40
Pb: 0.2497 0.0000 0.5054  3 Cd 3.21-3.58, 6 Pb 3.29-3.55, 4 Sb 3.44-3.46
Pb: 0.6178 0.5000 0.2288  6 Pb 3.29-3.55, 3 Sb 3.31-3.53, 4 Cd 3.38-3.42



Record 8
Material: CdSbPb2
Method: DFT, meta-GGA SCAN
State: PBEsol geometry

Properties
As for the energy relative to the elements, uncorrected: 56 kJ/mol of formula units. Its calculated volume is 108.3 Å³/f.u. The raw total energy comes out at -218.7 eV/cell. As for the space group: R-3m. The calculation puts the spin magnetization at 0.000 μB per cell.

Unit cell a=11.0806 b=11.0806 c=11.0806 alpha=17.58 beta=17.58 gamma=17.58
Last column: nearest neighbours and their distance in Å.
Atoms (fractional coordinates):
Cd: 0.0000 0.0000 0.0000  6 Pb 3.29, 6 Cd 3.39
Sb: 0.5000 0.5000 0.5000  6 Sb 3.39, 6 Pb 3.42
Pb: 0.2524 0.2524 0.2524  3 Cd 3.29, 6 Pb 3.39, 3 Sb 3.42
Pb: 0.7476 0.7476 0.7476  3 Cd 3.29, 6 Pb 3.39, 3 Sb 3.42



Record 9
Material: Cd2Sb2Pb
Method: DFT, meta-GGA SCAN
State: PBEsol geometry

Properties
As for the energy relative to the elements, uncorrected: 31 kJ/mol of formula units. Its calculated volume is 135.7 Å³/f.u. The raw total energy comes out at -210.8 eV/cell. As for the space group: I4/mmm. The calculation puts the spin magnetization at 0.000 μB per cell.

Unit cell a=7.9735 b=7.9735 c=7.9735 alpha=148.79 beta=148.79 gamma=44.71
Last column: nearest neighbours and their distance in Å.
Atoms (fractional coordinates):
Cd: 0.2500 0.7500 0.5000  4 Sb 2.97, 4 Cd 3.03
Cd: 0.7500 0.2500 0.5000  4 Sb 2.97, 4 Cd 3.03
Sb: 0.1104 0.1104 0.0000  4 Cd 2.97, 1 Sb 3.26
Sb: 0.8896 0.8896 0.0000  4 Cd 2.97, 1 Sb 3.26
Pb: 0.5000 0.5000 0.0000  8 Sb 3.44



Record 10
Material: CdSbPb2
Method: DFT, meta-GGA SCAN
State: PBEsol geometry

Properties
As for the energy relative to the elements, uncorrected: 39 kJ/mol of formula units. Its calculated volume is 109.6 Å³/f.u. The raw total energy comes out at -218.8 eV/cell. As for the space group: P4/mmm. The calculation puts the spin magnetization at 0.000 μB per cell.

Unit cell a=5.0525 b=5.0525 c=4.2928 alpha=90.00 beta=90.00 gamma=90.00
Last column: nearest neighbours and their distance in Å.
Atoms (fractional coordinates):
Cd: 0.0000 0.0000 0.0000  8 Pb 3.31, 4 Sb 3.57
Sb: 0.5000 0.5000 0.0000  8 Pb 3.31, 4 Cd 3.57
Pb: 0.0000 0.5000 0.5000  4 Cd 3.31, 4 Sb 3.31, 4 Pb 3.57
Pb: 0.5000 0.0000 0.5000  4 Cd 3.31, 4 Sb 3.31, 4 Pb 3.57



Record 11
Material: CdSbPb2
Method: DFT, meta-GGA SCAN
State: PBEsol geometry

Properties
As for the energy relative to the elements, uncorrected: 48 kJ/mol of formula units. Its calculated volume is 107.6 Å³/f.u. The raw total energy comes out at -218.7 eV/cell. As for the space group: P4/mmm. The calculation puts the spin magnetization at 0.000 μB per cell.

Unit cell a=3.3400 b=3.3400 c=9.6463 alpha=90.00 beta=90.00 gamma=90.00
Last column: nearest neighbours and their distance in Å.
Atoms (fractional coordinates):
Cd: 0.0000 0.0000 0.0000  8 Pb 3.30, 4 Cd 3.34
Sb: 0.0000 0.0000 0.5000  4 Sb 3.34, 8 Pb 3.46
Pb: 0.5000 0.5000 0.2384  4 Cd 3.30, 4 Pb 3.34, 4 Sb 3.46
Pb: 0.5000 0.5000 0.7616  4 Cd 3.30, 4 Pb 3.34, 4 Sb 3.46



Record 12
Material: CdSbPb2
Method: DFT, meta-GGA SCAN
State: PBEsol geometry

Properties
As for the energy relative to the elements, uncorrected: 35 kJ/mol of formula units. Its calculated volume is 109.1 Å³/f.u. The raw total energy comes out at -218.9 eV/cell. As for the space group: Imm2. The calculation puts the spin magnetization at 0.000 μB per cell.

Unit cell a=6.0535 b=6.0535 c=6.0535 alpha=139.16 beta=130.26 gamma=66.25
Last column: nearest neighbours and their distance in Å.
Atoms (fractional coordinates):
Cd: 0.0000 0.0000 0.0000  2 Sb 3.09, 6 Pb 3.29-3.31
Sb: 0.7774 0.2774 0.5000  2 Cd 3.09, 6 Pb 3.32-3.37
Pb: 0.2482 0.7482 0.5000  4 Cd 3.29-3.61, 4 Sb 3.32, 4 Pb 3.45-3.46
Pb: 0.5182 0.5182 0.0000  4 Cd 3.31, 4 Sb 3.37-3.53, 4 Pb 3.45-3.46



Record 13
Material: CdSbPb2
Method: DFT, meta-GGA SCAN
State: PBEsol geometry

Properties
As for the energy relative to the elements, uncorrected: 35 kJ/mol of formula units. Its calculated volume is 108.8 Å³/f.u. The raw total energy comes out at -218.9 eV/cell. As for the space group: Cm. The calculation puts the spin magnetization at 0.000 μB per cell.

Unit cell a=6.1252 b=6.1252 c=5.7106 alpha=109.13 beta=109.13 gamma=32.69
Last column: nearest neighbours and their distance in Å.
Atoms (fractional coordinates):
Cd: 0.0000 0.0000 0.0000  2 Sb 3.09, 7 Pb 3.22-3.42, 2 Cd 3.45
Sb: 0.7171 0.7171 0.3100  2 Cd 3.09, 7 Pb 3.32-3.37, 2 Sb 3.45
Pb: 0.2535 0.2535 0.8331  3 Cd 3.22-3.42, 4 Sb 3.35-3.37, 2 Pb 3.45
Pb: 0.4734 0.4734 0.4922  4 Cd 3.30-3.40, 3 Sb 3.32-3.36, 4 Pb 3.45-3.64



Record 14
Material: Cd2SbPb2
Method: DFT, meta-GGA SCAN
State: PBEsol geometry

Properties
As for the energy relative to the elements, uncorrected: 49 kJ/mol of formula units. Its calculated volume is 134.0 Å³/f.u. The raw total energy comes out at -498.3 eV/cell. As for the space group: P4/mbm. The calculation puts the spin magnetization at 0.000 μB per cell.

Unit cell a=7.7221 b=7.7221 c=4.4950 alpha=90.00 beta=90.00 gamma=90.00
Last column: nearest neighbours and their distance in Å.
Atoms (fractional coordinates):
Cd: 0.1297 0.3703 0.0000  1 Cd 2.83, 2 Sb 3.03, 2 Pb 3.10
Cd: 0.3703 0.8703 0.0000  1 Cd 2.83, 2 Sb 3.03, 2 Pb 3.10
Cd: 0.6297 0.1297 0.0000  1 Cd 2.83, 2 Sb 3.03, 2 Pb 3.10
Cd: 0.8703 0.6297 0.0000  1 Cd 2.83, 2 Sb 3.03, 2 Pb 3.10
Sb: 0.0000 0.0000 0.0000  4 Cd 3.03
Sb: 0.5000 0.5000 0.0000  4 Cd 3.03
Pb: 0.1751 0.6751 0.5000  6 Cd 3.10-3.27
Pb: 0.3249 0.1751 0.5000  6 Cd 3.10-3.27
Pb: 0.6751 0.8249 0.5000  6 Cd 3.10-3.27
Pb: 0.8249 0.3249 0.5000  6 Cd 3.10-3.27



Record 15
Material: CdSb2Pb
Method: DFT, meta-GGA SCAN
State: PBEsol geometry

Properties
As for the energy relative to the elements, uncorrected: 75 kJ/mol of formula units. Its calculated volume is 104.4 Å³/f.u. The raw total energy comes out at -179.9 eV/cell. As for the space group: P4mm. The calculation puts the spin magnetization at 0.000 μB per cell.

Unit cell a=3.2733 b=3.2733 c=9.7480 alpha=90.00 beta=90.00 gamma=90.00
Last column: nearest neighbours and their distance in Å.
Atoms (fractional coordinates):
Cd: 0.0000 0.0000 0.0000  4 Sb 3.22, 4 Cd 3.27, 4 Pb 3.30
Sb: 0.0000 0.0000 0.5103  8 Sb 3.27-3.44, 4 Pb 3.50
Sb: 0.5000 0.5000 0.7711  4 Cd 3.22, 8 Sb 3.27-3.44
Pb: 0.5000 0.5000 0.2416  4 Pb 3.27, 4 Cd 3.30, 4 Sb 3.50



Record 16
Material: CdSbPb2
Method: DFT, meta-GGA SCAN
State: PBEsol geometry

Properties
As for the energy relative to the elements, uncorrected: 40 kJ/mol of formula units. Its calculated volume is 109.6 Å³/f.u. The raw total energy comes out at -218.8 eV/cell. As for the space group: I-4m2. The calculation puts the spin magnetization at 0.000 μB per cell.

Unit cell a=6.0962 b=6.0962 c=6.0962 alpha=135.54 beta=135.54 gamma=64.69
Last column: nearest neighbours and their distance in Å.
Atoms (fractional coordinates):
Cd: 0.0000 0.0000 0.0000  8 Pb 3.26-3.46, 4 Sb 3.46
Sb: 0.2500 0.7500 0.5000  8 Pb 3.26-3.46, 4 Cd 3.46
Pb: 0.5000 0.5000 0.0000  4 Cd 3.26, 4 Pb 3.46, 4 Sb 3.46
Pb: 0.7500 0.2500 0.5000  4 Sb 3.26, 4 Cd 3.46, 4 Pb 3.46



Record 17
Material: CdSbPb2
Method: DFT, meta-GGA SCAN
State: PBEsol geometry

Properties
As for the energy relative to the elements, uncorrected: 41 kJ/mol of formula units. Its calculated volume is 109.0 Å³/f.u. The raw total energy comes out at -218.8 eV/cell. As for the space group: Cmmm. The calculation puts the spin magnetization at 0.000 μB per cell.

Unit cell a=5.7803 b=5.7803 c=3.4122 alpha=90.00 beta=90.00 gamma=107.02
Last column: nearest neighbours and their distance in Å.
Atoms (fractional coordinates):
Cd: 0.0000 0.0000 0.0000  8 Pb 3.36, 2 Cd 3.41, 2 Sb 3.44
Sb: 0.5000 0.5000 0.0000  8 Pb 3.36, 2 Sb 3.41, 2 Cd 3.44
Pb: 0.0000 0.5000 0.5000  4 Cd 3.36, 4 Sb 3.36, 4 Pb 3.41-3.44
Pb: 0.5000 0.0000 0.5000  4 Cd 3.36, 4 Sb 3.36, 4 Pb 3.41-3.44



Record 18
Material: CdSbPb2
Method: DFT, meta-GGA SCAN
State: PBEsol geometry

Properties
As for the energy relative to the elements, uncorrected: 27 kJ/mol of formula units. Its calculated volume is 109.0 Å³/f.u. The raw total energy comes out at -219.0 eV/cell. As for the space group: P4mm. The calculation puts the spin magnetization at 0.000 μB per cell.

Unit cell a=3.9289 b=3.9289 c=7.0640 alpha=90.00 beta=90.00 gamma=90.00
Last column: nearest neighbours and their distance in Å.
Atoms (fractional coordinates):
Cd: 0.0000 0.0000 0.0000  4 Sb 3.19, 5 Pb 3.23-3.26
Sb: 0.5000 0.5000 0.7790  4 Cd 3.19, 5 Pb 3.20-3.26
Pb: 0.0000 0.0000 0.5384  4 Sb 3.26, 1 Cd 3.26, 4 Pb 3.52
Pb: 0.5000 0.5000 0.2320  1 Sb 3.20, 4 Cd 3.23, 4 Pb 3.52



Record 19
Material: CdSb2Pb
Method: DFT, meta-GGA SCAN
State: PBEsol geometry

Properties
As for the energy relative to the elements, uncorrected: 48 kJ/mol of formula units. Its calculated volume is 106.0 Å³/f.u. The raw total energy comes out at -180.2 eV/cell. As for the space group: Pmmm. The calculation puts the spin magnetization at 0.000 μB per cell.

Unit cell a=3.9327 b=4.0075 c=6.7264 alpha=90.00 beta=90.00 gamma=90.00
Last column: nearest neighbours and their distance in Å.
Atoms (fractional coordinates):
Cd: 0.0000 0.0000 0.0000  8 Sb 3.18, 2 Pb 3.36
Sb: 0.5000 0.5000 0.2226  1 Sb 3.00, 4 Cd 3.18
Sb: 0.5000 0.5000 0.7774  1 Sb 3.00, 4 Cd 3.18
Pb: 0.0000 0.0000 0.5000  2 Cd 3.36, 8 Sb 3.37



Record 20
Material: CdSbPb2
Method: DFT, meta-GGA SCAN
State: PBEsol geometry

Properties
As for the energy relative to the elements, uncorrected: 43 kJ/mol of formula units. Its calculated volume is 109.5 Å³/f.u. The raw total energy comes out at -218.8 eV/cell. As for the space group: I4/mmm. The calculation puts the spin magnetization at 0.001 μB per cell.

Unit cell a=5.6779 b=5.6779 c=5.6779 alpha=128.35 beta=128.35 gamma=76.06
Last column: nearest neighbours and their distance in Å.
Atoms (fractional coordinates):
Cd: 0.0000 0.0000 0.0000  8 Pb 3.33, 4 Sb 3.50
Sb: 0.5000 0.5000 0.0000  8 Pb 3.33, 4 Cd 3.50
Pb: 0.2500 0.7500 0.5000  4 Sb 3.33, 4 Cd 3.33, 4 Pb 3.50
Pb: 0.7500 0.2500 0.5000  4 Sb 3.33, 4 Cd 3.33, 4 Pb 3.50